Crystalline NaHfCrO2 at its relaxed geometry. Source: the Alexandria database, functional GGA-PBEsol.

a b c (Å): 3.8036 3.8036 4.9173
angles (deg): 90.00 90.00 90.00
Closest atoms and distances in Å follow each position.
Element x y z (fractional)
Na 0.0000 0.0000 0.0000  4 Hf 2.69
Hf 0.5000 0.5000 0.0000  2 Cr 2.46, 4 Na 2.69
Cr 0.5000 0.5000 0.5000  4 O 1.90
O 0.0000 0.5000 0.5000  2 Cr 1.90
O 0.5000 0.0000 0.5000  2 Cr 1.90

Calculated volume   71.1 Å³/cell
Formation energy from raw total energies   -0.082 eV/atom
Space-group type   No. 123
Fermi-level density of states   0.699 states/eV/atom

---

Crystalline HfCrO3 at its relaxed geometry. Source: the Alexandria database, functional GGA-PBEsol.

a b c (Å): 5.2553 9.1221 4.7861
angles (deg): 90.00 90.00 90.00
Closest atoms and distances in Å follow each position.
Element x y z (fractional)
Hf 0.0491 0.2500 0.0475  6 O 1.98-2.17
Hf 0.4509 0.7500 0.5475  6 O 1.98-2.17
Hf 0.5491 0.2500 0.4525  6 O 1.98-2.17
Hf 0.9509 0.7500 0.9525  6 O 1.98-2.17
Cr 0.0000 0.0000 0.5000  4 O 2.00-2.02
Cr 0.0000 0.5000 0.5000  4 O 2.00-2.02
Cr 0.5000 0.0000 0.0000  4 O 2.00-2.02
Cr 0.5000 0.5000 0.0000  4 O 2.00-2.02
O 0.1240 0.7500 0.3189  2 Hf 1.98-2.04
O 0.2193 0.6002 0.7906  2 Cr 2.00-2.02, 2 Hf 2.11-2.17
O 0.2193 0.8998 0.7906  2 Cr 2.00-2.02, 2 Hf 2.11-2.17
O 0.2807 0.1002 0.2906  2 Cr 2.00-2.02, 2 Hf 2.11-2.17
O 0.2807 0.3998 0.2906  2 Cr 2.00-2.02, 2 Hf 2.11-2.17
O 0.3760 0.2500 0.8189  2 Hf 1.98-2.04
O 0.6240 0.7500 0.1811  2 Hf 1.98-2.04
O 0.7193 0.6002 0.7094  2 Cr 2.00-2.02, 2 Hf 2.11-2.17
O 0.7193 0.8998 0.7094  2 Cr 2.00-2.02, 2 Hf 2.11-2.17
O 0.7807 0.1002 0.2094  2 Cr 2.00-2.02, 2 Hf 2.11-2.17
O 0.7807 0.3998 0.2094  2 Cr 2.00-2.02, 2 Hf 2.11-2.17
O 0.8760 0.2500 0.6811  2 Hf 1.98-2.04

Calculated volume   229.4 Å³/cell
Formation energy from raw total energies   -2.549 eV/atom
Space-group type   No. 62
Fermi-level density of states   0.118 states/eV/atom

---

Crystalline HfCrO3 at its relaxed geometry. Source: the Alexandria database, functional GGA-PBEsol.

a b c (Å): 4.0322 4.0322 4.0322
angles (deg): 90.00 90.00 90.00
Closest atoms and distances in Å follow each position.
Element x y z (fractional)
Hf 0.0000 0.0000 0.0000  6 O 2.02
Cr 0.5000 0.5000 0.5000  12 O 2.85
O 0.0000 0.0000 0.5000  2 Hf 2.02
O 0.0000 0.5000 0.0000  2 Hf 2.02
O 0.5000 0.0000 0.0000  2 Hf 2.02

Calculated volume   65.6 Å³/cell
Formation energy from raw total energies   -1.935 eV/atom
Space-group type   No. 221
Fermi-level density of states   1.258 states/eV/atom

---

- The highest formation energy from raw total energies belongs to which entry?
  NaHfCrO2